Entry 1:
DFT (GGA-PBE) results for HfCdHg after structural relaxation.

Calculated values
For the calculated formation energy, the calculation gives 0.063 eV/atom. The value obtained for the total DFT energy (no corrections) is -3.6536 eV/atom.

Cell lengths 3.345, 3.345, 11.157 Å; angles 90.00, 90.00, 90.00 degrees
Fractional coordinates of all 6 atoms:
Hf 0.250 0.250 0.248
Hf 0.750 0.750 0.752
Cd 0.250 0.250 0.581
Cd 0.750 0.750 0.419
Hg 0.250 0.250 0.914
Hg 0.750 0.750 0.086

***

Entry 2:
DFT (GGA-PBE) results for HfCd2Hg after structural relaxation.

Calculated values
For the calculated formation energy, the calculation gives 0.105 eV/atom. The value obtained for the total DFT energy (no corrections) is -2.9063 eV/atom.

Cell lengths 4.921, 4.921, 4.921 Å; angles 60.00, 60.00, 60.00 degrees
Fractional coordinates of all 4 atoms:
Hf 0.000 0.000 0.000
Cd 0.500 0.500 0.500
Cd 0.750 0.750 0.750
Hg 0.250 0.250 0.250

***

Entry 3:
DFT (GGA-PBE) results for Hf2Cd2Hg after structural relaxation.

Calculated values
For the calculated formation energy, the calculation gives 0.441 eV/atom. The value obtained for the total DFT energy (no corrections) is -3.9588 eV/atom.

Cell lengths 7.402, 7.402, 7.402 Å; angles 147.00, 147.00, 47.36 degrees
Fractional coordinates of all 5 atoms:
Hf 0.250 0.750 0.500
Hf 0.750 0.250 0.500
Cd 0.097 0.097 0.000
Cd 0.903 0.903 0.000
Hg 0.500 0.500 0.000

***

Entry 4:
DFT (GGA-PBE) results for HfCdHg after structural relaxation.

Calculated values
For the calculated formation energy, the calculation gives 0.171 eV/atom. The value obtained for the total DFT energy (no corrections) is -3.5448 eV/atom.

Cell lengths 4.647, 4.647, 4.647 Å; angles 60.00, 60.00, 60.00 degrees
Fractional coordinates of all 3 atoms:
Hf 0.000 0.000 0.000
Cd 0.500 0.500 0.500
Hg 0.750 0.750 0.750

***

Entry 5:
DFT (GGA-PBE) results for HoHfCd after structural relaxation.

Calculated values
For the calculated formation energy, the calculation gives 0.771 eV/atom. The value obtained for the total DFT energy (no corrections) is -4.3714 eV/atom. For the excess energy over the best structure of this formula in the dataset, the calculation gives 0 meV per atom.

Cell lengths 4.949, 4.949, 4.949 Å; angles 60.00, 60.00, 60.00 degrees
Fractional coordinates of all 3 atoms:
Ho 0.000 0.000 0.000
Hf 0.750 0.750 0.750
Cd 0.500 0.500 0.500

***

Entry 6:
DFT (GGA-PBE) results for HfCdIn after structural relaxation.

Calculated values
The value obtained for the total DFT energy (no corrections) is -4.1417 eV/atom.

Cell lengths 4.810, 4.810, 4.810 Å; angles 60.00, 60.00, 60.00 degrees
Fractional coordinates of all 3 atoms:
Hf 0.000 0.000 0.000
Cd 0.750 0.750 0.750
In 0.250 0.250 0.250

***

Entry 7:
DFT (GGA-PBE) results for Hf2CdIn2 after structural relaxation.

Calculated values
The value obtained for the total DFT energy (no corrections) is -4.8688 eV/atom.

Cell lengths 7.762, 7.762, 7.762 Å; angles 149.31, 149.31, 43.95 degrees
Fractional coordinates of all 5 atoms:
Hf 0.095 0.095 0.000
Hf 0.905 0.905 0.000
Cd 0.500 0.500 0.000
In 0.250 0.750 0.500
In 0.750 0.250 0.500

***

Entry 8:
DFT (GGA-PBE) results for HfCdIn2 after structural relaxation.

Calculated values
The value obtained for the total DFT energy (no corrections) is -3.8244 eV/atom.

Cell lengths 5.095, 5.095, 5.095 Å; angles 60.00, 60.00, 60.00 degrees
Fractional coordinates of all 4 atoms:
Hf 0.000 0.000 0.000
Cd 0.250 0.250 0.250
In 0.500 0.500 0.500
In 0.750 0.750 0.750

***

Entry 9:
DFT (GGA-PBE) results for HfCdIn2 after structural relaxation.

Calculated values
The value obtained for the total DFT energy (no corrections) is -3.8244 eV/atom.

Cell lengths 5.095, 5.095, 5.095 Å; angles 60.00, 60.00, 60.00 degrees
Fractional coordinates of all 4 atoms:
Hf 0.000 0.000 0.000
Cd 0.750 0.750 0.750
In 0.250 0.250 0.250
In 0.500 0.500 0.500

***

Entry 10:
DFT (GGA-PBE) results for HfCdIn after structural relaxation.

Calculated values
The value obtained for the total DFT energy (no corrections) is -4.1903 eV/atom.

Cell lengths 4.684, 4.684, 4.684 Å; angles 60.00, 60.00, 60.00 degrees
Fractional coordinates of all 3 atoms:
Hf 0.000 0.000 0.000
Cd 0.750 0.750 0.750
In 0.500 0.500 0.500

***

Entry 11:
DFT (GGA-PBE) results for Hf2CdIn after structural relaxation.

Calculated values
The value obtained for the total DFT energy (no corrections) is -5.5769 eV/atom.

Cell lengths 5.022, 5.022, 5.022 Å; angles 60.00, 60.00, 60.00 degrees
Fractional coordinates of all 4 atoms:
Hf 0.000 0.000 0.000
Hf 0.250 0.250 0.250
Cd 0.750 0.750 0.750
In 0.500 0.500 0.500

***

Entry 12:
DFT (GGA-PBE) results for Hf3Cd2In2 after structural relaxation.

Calculated values
The value obtained for the total DFT energy (no corrections) is -5.1856 eV/atom.

Cell lengths 8.409, 8.409, 8.409 Å; angles 33.77, 33.77, 33.77 degrees
Fractional coordinates of all 7 atoms:
Hf 0.000 0.000 0.000
Hf 0.255 0.255 0.255
Hf 0.744 0.744 0.744
Cd 0.387 0.387 0.387
Cd 0.867 0.867 0.867
In 0.131 0.131 0.131
In 0.616 0.616 0.616

***

Q: Number 12 is which compound?
A: Hf3Cd2In2

***

Q: total DFT energy (no corrections) of number 12 (Hf3Cd2In2)?
A: -5.1856 eV/atom

***

Q: The lowest total DFT energy (no corrections) belongs to which entry?
A: Hf2CdIn

***

Q: Which of these has the lowest total DFT energy (no corrections)?
A: Hf2CdIn